1.
VASP calculation (PBE) on MgMoCl2 after structural relaxation.

a b c (Å): 7.071 7.071 10.162
angles (deg): 90.00 90.00 90.00
Space group I-42d (No. 122)
One atom of each set of equivalent atoms:
Mg (0.000, 0.000, 0.000) [4 per cell]
Mo (0.000, 0.000, 0.500) [4 per cell]
Cl (0.138, 0.250, 0.125) [8 per cell]

Results
- Fermi-level density of states: 2.94 states/eV/cell
- Formation energy (no corrections): 0.19 eV per atom
- ΔE to the lowest computed polymorph: 0.575 eV per atom

---

2.
VASP calculation (PBE) on Mg2MoCl after structural relaxation.

a b c (Å): 6.831 6.831 6.831
angles (deg): 90.00 90.00 90.00
Space group F-43m (No. 216)
One atom of each set of equivalent atoms:
Mg (0.000, 0.000, 0.000) [4 per cell]
Mg (0.250, 0.250, 0.250) [4 per cell]
Mo (0.000, 0.000, 0.500) [4 per cell]
Cl (0.250, 0.250, 0.750) [4 per cell]

Results
- Fermi-level density of states: 5.51 states/eV/cell
- Formation energy (no corrections): 0.63 eV per atom
- ΔE to the lowest computed polymorph: 0.849 eV per atom

---

3.
VASP calculation (PBE) on Mg2MoCl after structural relaxation.

a b c (Å): 3.013 4.935 4.972
angles (deg): 90.00 90.00 90.00
Space group Pmmm (No. 47)
One atom of each set of equivalent atoms:
Mg (0.000, 0.000, 0.000) [1 per cell]
Mg (0.500, 0.500, 0.000) [1 per cell]
Mo (0.000, 0.500, 0.500) [1 per cell]
Cl (0.500, 0.000, 0.500) [1 per cell]

Results
- Fermi-level density of states: 3.43 states/eV/cell
- Formation energy (no corrections): 0.46 eV per atom
- ΔE to the lowest computed polymorph: 0.684 eV per atom

---

4.
VASP calculation (PBE) on MgMoCl2 after structural relaxation.

a b c (Å): 3.712 3.712 11.791
angles (deg): 90.00 90.00 90.00
Space group I-4m2 (No. 119)
One atom of each set of equivalent atoms:
Mg (0.000, 0.000, 0.000) [2 per cell]
Mo (0.000, 0.500, 0.750) [2 per cell]
Cl (0.000, 0.000, 0.500) [2 per cell]
Cl (0.000, 0.500, 0.250) [2 per cell]

Results
- Fermi-level density of states: 4.48 states/eV/cell
- Formation energy (no corrections): 0.17 eV per atom
- ΔE to the lowest computed polymorph: 0.546 eV per atom

---

5.
VASP calculation (PBE) on Mg2MoCl after structural relaxation.

a b c (Å): 10.665 2.969 5.177
angles (deg): 90.00 106.86 90.00
Space group Cm (No. 8)
One atom of each set of equivalent atoms:
Mg (0.000, 0.000, 0.000) [2 per cell]
Mg (0.201, 0.000, 0.625) [2 per cell]
Mo (0.244, 0.500, 0.124) [2 per cell]
Cl (0.406, 0.000, 0.431) [2 per cell]

Results
- Fermi-level density of states: 6.47 states/eV/cell
- Formation energy (no corrections): 0.05 eV per atom
- ΔE to the lowest computed polymorph: 0.277 eV per atom

---

6.
VASP calculation (PBE) on Mg2MoCl after structural relaxation.

a b c (Å): 3.706 4.741 8.324
angles (deg): 90.00 90.00 90.00
Space group Cmmm (No. 65)
One atom of each set of equivalent atoms:
Mg (0.000, 0.000, 0.249) [4 per cell]
Mo (0.000, 0.500, 0.000) [2 per cell]
Cl (0.000, 0.500, 0.500) [2 per cell]

Results
- Fermi-level density of states: 4.27 states/eV/cell
- Formation energy (no corrections): -0.16 eV per atom
- ΔE to the lowest computed polymorph: 0.060 eV per atom

---

7.
VASP calculation (PBE) on MgMoCl2 after structural relaxation.

a b c (Å): 7.005 7.005 7.005
angles (deg): 90.00 90.00 90.00
Space group F-43m (No. 216)
One atom of each set of equivalent atoms:
Mg (0.000, 0.000, 0.000) [4 per cell]
Mo (0.250, 0.250, 0.750) [4 per cell]
Cl (0.000, 0.000, 0.500) [4 per cell]
Cl (0.250, 0.250, 0.250) [4 per cell]

Results
- Fermi-level density of states: 14.06 states/eV/cell
- Formation energy (no corrections): 0.48 eV per atom
- ΔE to the lowest computed polymorph: 0.858 eV per atom

---

8.
VASP calculation (PBE) on Mg2MoCl after structural relaxation.

a b c (Å): 6.023 8.481 2.893
angles (deg): 90.00 90.00 90.00
Space group Cmmm (No. 65)
One atom of each set of equivalent atoms:
Mg (0.250, 0.250, 0.000) [4 per cell]
Mo (0.000, 0.000, 0.500) [2 per cell]
Cl (0.000, 0.500, 0.500) [2 per cell]

Results
- Fermi-level density of states: 5.07 states/eV/cell
- Formation energy (no corrections): 0.17 eV per atom
- ΔE to the lowest computed polymorph: 0.394 eV per atom

---

9.
VASP calculation (PBE) on MgMoCl2 after structural relaxation.

a b c (Å): 3.055 4.966 14.066
angles (deg): 90.00 90.00 90.00
Space group Immm (No. 71)
One atom of each set of equivalent atoms:
Mg (0.000, 0.000, 0.000) [2 per cell]
Mo (0.000, 0.000, 0.500) [2 per cell]
Cl (0.000, 0.500, 0.139) [4 per cell]

Results
- Fermi-level density of states: 2.95 states/eV/cell
- Formation energy (no corrections): -0.29 eV per atom
- ΔE to the lowest computed polymorph: 0.093 eV per atom

---

10.
VASP calculation (PBE) on Mg2MoCl after structural relaxation.

a b c (Å): 7.074 7.074 7.074
angles (deg): 90.00 90.00 90.00
Space group Fm-3m (No. 225)
One atom of each set of equivalent atoms:
Mg (0.250, 0.250, 0.250) [8 per cell]
Mo (0.000, 0.000, 0.000) [4 per cell]
Cl (0.000, 0.000, 0.500) [4 per cell]

Results
- Fermi-level density of states: 11.47 states/eV/cell
- Formation energy (no corrections): 0.70 eV per atom
- ΔE to the lowest computed polymorph: 0.920 eV per atom

---

11.
VASP calculation (PBE) on MgMoCl2 after structural relaxation.

a b c (Å): 3.068 3.068 8.646
angles (deg): 90.00 90.00 90.00
Space group P4mm (No. 99)
One atom of each set of equivalent atoms:
Mg (0.000, 0.000, 0.000) [1 per cell]
Mo (0.500, 0.500, 0.257) [1 per cell]
Cl (0.000, 0.000, 0.410) [1 per cell]
Cl (0.500, 0.500, 0.832) [1 per cell]

Results
- Fermi-level density of states: 1.62 states/eV/cell
- Formation energy (no corrections): -0.38 eV per atom
- ΔE to the lowest computed polymorph: 0.000 eV per atom

---

12.
VASP calculation (PBE) on MgMoPCl2 after structural relaxation.

a b c (Å): 4.893 4.893 4.812
angles (deg): 90.00 90.00 90.00
Space group P4/mmm (No. 123)
One atom of each set of equivalent atoms:
Mg (0.000, 0.000, 0.000) [1 per cell]
Mo (0.500, 0.500, 0.500) [1 per cell]
P (0.500, 0.500, 0.000) [1 per cell]
Cl (0.000, 0.500, 0.500) [2 per cell]

Results
- Fermi-level density of states: 2.46 states/eV/cell
- Formation energy (no corrections): -0.06 eV per atom
- ΔE to the lowest computed polymorph: 0.000 eV per atom

---

13.
VASP calculation (PBE) on MgMoPCl2 after structural relaxation.

a b c (Å): 4.456 4.456 6.292
angles (deg): 90.00 90.00 90.00
Space group P4/mmm (No. 123)
One atom of each set of equivalent atoms:
Mg (0.000, 0.000, 0.000) [1 per cell]
Mo (0.500, 0.500, 0.500) [1 per cell]
P (0.000, 0.000, 0.500) [1 per cell]
Cl (0.000, 0.500, 0.000) [2 per cell]

Results
- Fermi-level density of states: 1.88 states/eV/cell
- Formation energy (no corrections): 0.25 eV per atom
- ΔE to the lowest computed polymorph: 0.311 eV per atom

---

14.
VASP calculation (PBE) on MgMoPbCl2 after structural relaxation.

a b c (Å): 4.681 4.681 5.906
angles (deg): 90.00 90.00 90.00
Space group P4/mmm (No. 123)
One atom of each set of equivalent atoms:
Mg (0.000, 0.000, 0.000) [1 per cell]
Mo (0.000, 0.000, 0.500) [1 per cell]
Pb (0.500, 0.500, 0.000) [1 per cell]
Cl (0.000, 0.500, 0.500) [2 per cell]

Results
- Fermi-level density of states: 5.60 states/eV/cell
- Formation energy (no corrections): 0.17 eV per atom

---

15.
VASP calculation (PBE) on RbMgMoCl6 after structural relaxation.

a b c (Å): 6.5074 6.5074 7.4377
angles (deg): 90.00 90.00 120.00
Space group P312 (No. 149)
One atom of each set of equivalent atoms:
Rb (0.0000, 0.0000, 0.0000) [1 per cell]
Mg (0.3333, 0.6667, 0.5000) [1 per cell]
Mo (0.6667, 0.3333, 0.5000) [1 per cell]
Cl (0.3723, 0.0070, 0.6895) [6 per cell]

Results
- Fermi-level density of states: 0.00 states/eV/cell
- Formation energy (no corrections): -1.46 eV per atom

---

16.
VASP calculation (PBE) on MgMoS2Cl after structural relaxation.

a b c (Å): 4.858 4.858 4.545
angles (deg): 90.00 90.00 90.00
Space group P4/mmm (No. 123)
One atom of each set of equivalent atoms:
Mg (0.000, 0.000, 0.000) [1 per cell]
Mo (0.500, 0.500, 0.500) [1 per cell]
S (0.000, 0.500, 0.000) [2 per cell]
Cl (0.000, 0.000, 0.500) [1 per cell]

Results
- Fermi-level density of states: 2.55 states/eV/cell
- Formation energy (no corrections): 0.24 eV per atom
- ΔE to the lowest computed polymorph: 0.499 eV per atom

---

17.
VASP calculation (PBE) on MgMoS2Cl after structural relaxation.

a b c (Å): 4.668 4.668 4.989
angles (deg): 90.00 90.00 90.00
Space group P4/mmm (No. 123)
One atom of each set of equivalent atoms:
Mg (0.000, 0.000, 0.000) [1 per cell]
Mo (0.500, 0.500, 0.500) [1 per cell]
S (0.000, 0.500, 0.500) [2 per cell]
Cl (0.500, 0.500, 0.000) [1 per cell]

Results
- Fermi-level density of states: 3.28 states/eV/cell
- Formation energy (no corrections): -0.26 eV per atom
- ΔE to the lowest computed polymorph: 0.000 eV per atom

---

18.
VASP calculation (PBE) on MgSb2MoCl after structural relaxation.

a b c (Å): 5.481 5.481 4.603
angles (deg): 90.00 90.00 90.00
Space group P4/mmm (No. 123)
One atom of each set of equivalent atoms:
Mg (0.000, 0.000, 0.000) [1 per cell]
Sb (0.000, 0.500, 0.000) [2 per cell]
Mo (0.500, 0.500, 0.500) [1 per cell]
Cl (0.000, 0.000, 0.500) [1 per cell]

Results
- Fermi-level density of states: 3.54 states/eV/cell
- Formation energy (no corrections): 0.72 eV per atom

---

19.
VASP calculation (PBE) on SrMgMo2Cl after structural relaxation.

a b c (Å): 4.601 4.601 5.195
angles (deg): 90.00 90.00 90.00
Space group P4/mmm (No. 123)
One atom of each set of equivalent atoms:
Sr (0.000, 0.000, 0.000) [1 per cell]
Mg (0.500, 0.500, 0.000) [1 per cell]
Mo (0.000, 0.500, 0.500) [2 per cell]
Cl (0.500, 0.500, 0.500) [1 per cell]

Results
- Fermi-level density of states: 7.25 states/eV/cell
- Formation energy (no corrections): 0.88 eV per atom

---

20.
VASP calculation (PBE) on MgTl2MoCl after structural relaxation.

a b c (Å): 5.795 5.795 4.540
angles (deg): 90.00 90.00 90.00
Space group P4/mmm (No. 123)
One atom of each set of equivalent atoms:
Mg (0.000, 0.000, 0.000) [1 per cell]
Tl (0.000, 0.500, 0.500) [2 per cell]
Mo (0.500, 0.500, 0.000) [1 per cell]
Cl (0.500, 0.500, 0.500) [1 per cell]

Results
- Fermi-level density of states: 2.50 states/eV/cell
- Formation energy (no corrections): 0.71 eV per atom

---

21.
VASP calculation (PBE) on Mg3NCl after structural relaxation.

a b c (Å): 4.475 4.475 4.475
angles (deg): 90.00 90.00 90.00
Space group Pm-3m (No. 221)
One atom of each set of equivalent atoms:
Mg (0.000, 0.000, 0.500) [3 per cell]
N (0.000, 0.000, 0.000) [1 per cell]
Cl (0.500, 0.500, 0.500) [1 per cell]

Results
- Fermi-level density of states: 2.05 states/eV/cell
- Formation energy (no corrections): -0.38 eV per atom
- ΔE to the lowest computed polymorph: 0.000 eV per atom

---

22.
VASP calculation (PBE) on Mg3NCl3 after structural relaxation.

a b c (Å): 9.884 9.884 9.884
angles (deg): 90.00 90.00 90.00
Space group I4_132 (No. 214)
One atom of each set of equivalent atoms:
Mg (0.098, 0.348, 0.125) [24 per cell]
N (0.125, 0.125, 0.125) [8 per cell]
Cl (0.123, 0.375, 0.373) [24 per cell]

Results
- Fermi-level density of states: 0.00 states/eV/cell
- Formation energy (no corrections): -1.42 eV per atom

---

23.
VASP calculation (PBE) on MgN3Cl after structural relaxation.

a b c (Å): 3.738 3.738 3.738
angles (deg): 90.00 90.00 90.00
Space group Pm-3m (No. 221)
One atom of each set of equivalent atoms:
Mg (0.000, 0.000, 0.000) [1 per cell]
N (0.000, 0.500, 0.500) [3 per cell]
Cl (0.500, 0.500, 0.500) [1 per cell]

Results
- Fermi-level density of states: 2.79 states/eV/cell
- Formation energy (no corrections): 2.14 eV per atom

---

24.
VASP calculation (PBE) on MgN3Cl after structural relaxation.

a b c (Å): 4.226 4.226 4.226
angles (deg): 90.00 90.00 90.00
Space group Pm-3m (No. 221)
One atom of each set of equivalent atoms:
Mg (0.000, 0.000, 0.000) [1 per cell]
N (0.000, 0.000, 0.500) [3 per cell]
Cl (0.500, 0.500, 0.500) [1 per cell]

Results
- Fermi-level density of states: 7.43 states/eV/cell
- Formation energy (no corrections): 2.20 eV per atom

---

25.
VASP calculation (PBE) on MgN2Cl2 after structural relaxation.

a b c (Å): 6.383 3.679 10.478
angles (deg): 90.00 93.01 90.00
Space group C2/m (No. 12)
One atom of each set of equivalent atoms:
Mg (0.000, 0.000, 0.000) [2 per cell]
N (0.033, 0.000, 0.452) [4 per cell]
Cl (0.155, 0.500, 0.869) [4 per cell]

Results
- Fermi-level density of states: 0.00 states/eV/cell
- Formation energy (no corrections): -1.11 eV per atom

---

26.
VASP calculation (PBE) on Mg4NCl5 after structural relaxation.

a b c (Å): 16.904 3.452 7.058
angles (deg): 90.00 102.80 90.00
Space group C2/m (No. 12)
One atom of each set of equivalent atoms:
Mg (0.001, 0.000, 0.208) [4 per cell]
Mg (0.128, 0.500, 0.069) [4 per cell]
N (0.000, 0.500, 0.000) [2 per cell]
Cl (0.000, 0.500, 0.500) [2 per cell]
Cl (0.155, 0.000, 0.322) [4 per cell]
Cl (0.156, 0.000, 0.843) [4 per cell]

Results
- Fermi-level density of states: 0.00 states/eV/cell
- Formation energy (no corrections): -1.54 eV per atom

---

27.
VASP calculation (PBE) on Nd2MgN2Cl2 after structural relaxation.

a b c (Å): 4.118 4.118 15.017
angles (deg): 90.00 90.00 90.00
Space group I4/mmm (No. 139)
One atom of each set of equivalent atoms:
Nd (0.000, 0.000, 0.101) [4 per cell]
Mg (0.000, 0.000, 0.500) [2 per cell]
N (0.000, 0.500, 0.000) [4 per cell]
Cl (0.000, 0.000, 0.312) [4 per cell]

Results
- Fermi-level density of states: 0.15 states/eV/cell
- Formation energy (no corrections): -1.51 eV per atom